No. 1
{
  "formula": "SnSb2I2",
  "functional": "GGA-PBE",
  "state": "optimized geometry",
  "lattice": [[7.9775, 0.0000, 0.0000], [0.0000, 7.9775, 0.0000], [0.0000, 0.0000, 5.3562]],
  "species": ["Sn", "Sn", "Sb", "Sb", "Sb", "Sb", "I", "I", "I", "I"],
  "fractional_positions": [[0.0000, 0.0000, 0.0000], [0.5000, 0.5000, 0.0000], [0.1297, 0.3703, 0.0000], [0.3703, 0.8703, 0.0000], [0.6297, 0.1297, 0.0000], [0.8703, 0.6297, 0.0000], [0.1967, 0.6967, 0.5000], [0.3033, 0.1967, 0.5000], [0.6967, 0.8033, 0.5000], [0.8033, 0.3033, 0.5000]],
  "e_form_raw_ev_per_atom": 0.1386,
  "crystal_system": "tetragonal"
}



No. 2
{
  "formula": "Ga8Tc2Pd",
  "functional": "GGA-PBE",
  "state": "optimized geometry",
  "lattice": [[6.8475, -2.5909, 0.0000], [6.8475, 2.5909, 0.0000], [-0.2390, 0.0000, 5.1422]],
  "species": ["Ga", "Ga", "Ga", "Ga", "Ga", "Ga", "Ga", "Ga", "Tc", "Tc", "Pd"],
  "fractional_positions": [[0.0779, 0.0779, 0.3703], [0.1569, 0.6484, 0.1307], [0.2783, 0.2783, 0.6260], [0.3516, 0.8431, 0.8693], [0.6484, 0.1569, 0.1307], [0.7217, 0.7217, 0.3740], [0.8431, 0.3516, 0.8693], [0.9221, 0.9221, 0.6297], [0.2315, 0.2315, 0.1233], [0.7685, 0.7685, 0.8767], [0.5000, 0.5000, 0.5000]],
  "e_form_ev_per_fu": -1.35,
  "crystal_system": "monoclinic"
}



No. 3
{
  "formula": "KSrZn3",
  "functional": "GGA-PBE",
  "state": "optimized geometry",
  "lattice": [[6.0981, 0.0000, 0.0000], [0.0000, 6.0981, 0.0000], [0.0000, 0.0000, 6.0981]],
  "species": ["K", "Sr", "Zn", "Zn", "Zn"],
  "fractional_positions": [[0.0000, 0.0000, 0.0000], [0.5000, 0.5000, 0.5000], [0.0000, 0.5000, 0.5000], [0.5000, 0.0000, 0.5000], [0.5000, 0.5000, 0.0000]],
  "e_form_ev_per_fu": 2.23,
  "crystal_system": "cubic"
}



No. 4
{
  "formula": "BeAl3P",
  "functional": "GGA-PBE",
  "state": "optimized geometry",
  "lattice": [[4.6505, 0.0000, 0.0000], [0.0000, 4.6505, 0.0000], [0.0000, 0.0000, 4.6505]],
  "species": ["Be", "Al", "Al", "Al", "P"],
  "fractional_positions": [[0.0000, 0.0000, 0.0000], [0.0000, 0.5000, 0.5000], [0.5000, 0.0000, 0.5000], [0.5000, 0.5000, 0.0000], [0.5000, 0.5000, 0.5000]],
  "e_form_ev_per_fu": 3.96,
  "crystal_system": "cubic"
}



No. 5
{
  "formula": "CdBiI3",
  "functional": "GGA-PBE",
  "state": "optimized geometry",
  "lattice": [[6.1804, 0.0000, 0.0000], [0.0000, 6.1804, 0.0000], [0.0000, 0.0000, 6.1804]],
  "species": ["Cd", "Bi", "I", "I", "I"],
  "fractional_positions": [[0.0000, 0.0000, 0.0000], [0.5000, 0.5000, 0.5000], [0.0000, 0.5000, 0.5000], [0.5000, 0.0000, 0.5000], [0.5000, 0.5000, 0.0000]],
  "e_form_raw_ev_per_atom": -0.1144,
  "crystal_system": "cubic"
}



No. 6
{
  "formula": "NaCa2NiAg",
  "functional": "GGA-PBE",
  "state": "optimized geometry",
  "lattice": [[5.3337, 0.0000, 0.0000], [0.0000, 5.3337, 0.0000], [0.0000, 0.0000, 5.0603]],
  "species": ["Na", "Ca", "Ca", "Ni", "Ag"],
  "fractional_positions": [[0.0000, 0.0000, 0.0000], [0.0000, 0.5000, 0.5000], [0.5000, 0.0000, 0.5000], [0.5000, 0.5000, 0.5000], [0.5000, 0.5000, 0.0000]],
  "e_form_ev_per_fu": 0.20,
  "crystal_system": "tetragonal"
}



No. 7
{
  "formula": "CaCu2Pb",
  "functional": "GGA-PBE",
  "state": "optimized geometry",
  "lattice": [[6.5161, 0.0000, 0.0000], [0.0000, 6.5265, 0.0000], [-0.0074, 0.0000, 3.9150]],
  "species": ["Ca", "Ca", "Cu", "Cu", "Cu", "Cu", "Pb", "Pb"],
  "fractional_positions": [[0.0000, 0.0000, 0.0000], [0.5000, 0.5000, 0.0000], [0.2500, 0.2500, 0.5000], [0.2500, 0.7500, 0.5000], [0.7500, 0.2500, 0.5000], [0.7500, 0.7500, 0.5000], [0.0000, 0.5000, 0.0000], [0.5000, 0.0000, 0.0000]],
  "e_form_ev_per_fu": 0.08,
  "crystal_system": "monoclinic"
}



No. 8
{
  "formula": "DyEr2P3Rh12",
  "functional": "GGA-PBE",
  "state": "optimized geometry",
  "lattice": [[4.4630, 2.5767, 4.2668], [-4.4630, 2.5767, 4.2668], [0.0000, -5.1535, 4.2668]],
  "species": ["Dy", "Er", "Er", "P", "P", "P", "Rh", "Rh", "Rh", "Rh", "Rh", "Rh", "Rh", "Rh", "Rh", "Rh", "Rh", "Rh"],
  "fractional_positions": [[0.0000, 0.0000, 0.0000], [0.3726, 0.3726, 0.3726], [0.6274, 0.6274, 0.6274], [0.0000, 0.0000, 0.5000], [0.0000, 0.5000, 0.0000], [0.5000, 0.0000, 0.0000], [0.0934, 0.6294, 0.6294], [0.1801, 0.1801, 0.6617], [0.1801, 0.6617, 0.1801], [0.3383, 0.8199, 0.8199], [0.3706, 0.3706, 0.9066], [0.3706, 0.9066, 0.3706], [0.6294, 0.0934, 0.6294], [0.6294, 0.6294, 0.0934], [0.6617, 0.1801, 0.1801], [0.8199, 0.3383, 0.8199], [0.8199, 0.8199, 0.3383], [0.9066, 0.3706, 0.3706]],
  "e_form_ev_per_fu": -7.77,
  "crystal_system": "trigonal"
}



Size of the total moment per entry: 0.00, 0.00, 0.00, 0.00, 0.00, 0.00, 0.00, 0.00 μB per cell
Uncorrected energy per entry: -2.93, -4.68, -0.87, -3.28, -2.00, -2.75, -3.45, -7.00 eV/atom